Entry 1:
Here is a geometry-optimized LiNd12In3 structure from Alexandria. Energies are from PBE-GGA.

CIF file:
```
data_LiNd12In3
_space_group_name_H-M_alt 'P 1'
_space_group_IT_number 1
_space_group_name_Hall 'P 1'
_cell_length_a 4.9916
_cell_length_b 4.9916
_cell_length_c 20.0270
_cell_angle_alpha 90.00
_cell_angle_beta 90.00
_cell_angle_gamma 90.00
loop_
_atom_site_label
_atom_site_fract_x
_atom_site_fract_y
_atom_site_fract_z
Nd1 0.0000 0.5000 0.3750
Nd2 0.5000 0.5000 0.0000
Nd3 0.5000 0.0000 0.3750
Nd4 0.0000 0.5000 0.1275
Nd5 0.5000 0.5000 0.2494
Nd6 0.5000 0.0000 0.8725
Nd7 0.5000 0.0000 0.6250
Nd8 0.5000 0.5000 0.7506
Nd9 0.0000 0.5000 0.6250
Nd10 0.5000 0.0000 0.1275
Nd11 0.5000 0.5000 0.5000
Nd12 0.0000 0.5000 0.8725
In1 0.0000 0.0000 0.5000
In2 0.0000 0.0000 0.7494
In3 0.0000 0.0000 0.2506
Li1 0.0000 0.0000 0.0000
```

Results
For the formation energy, the calculation gives -0.17 eV per atom. The density of states at the Fermi level is 25.50 states/eV/cell. The calculation puts the uncorrected energy at -4.376 eV per atom. The space group is No. 123.

---

Entry 2:
Here is a geometry-optimized Li2NdIn2 structure from Alexandria. Energies are from PBE-GGA.

CIF file:
```
data_Li2NdIn2
_space_group_name_H-M_alt 'P 1'
_space_group_IT_number 1
_space_group_name_Hall 'P 1'
_cell_length_a 3.1060
_cell_length_b 8.5088
_cell_length_c 8.5088
_cell_angle_alpha 90.00
_cell_angle_beta 90.00
_cell_angle_gamma 90.00
loop_
_atom_site_label
_atom_site_fract_x
_atom_site_fract_y
_atom_site_fract_z
In1 0.5000 0.6767 0.8233
In2 0.5000 0.8233 0.3233
In3 0.5000 0.3233 0.1767
In4 0.5000 0.1767 0.6767
Li1 0.0000 0.6180 0.1180
Li2 0.0000 0.1180 0.3820
Li3 0.0000 0.3820 0.8820
Li4 0.0000 0.8820 0.6180
Nd1 0.0000 0.0000 0.0000
Nd2 0.0000 0.5000 0.5000
```

Results
For the formation energy, the calculation gives -0.32 eV per atom. The density of states at the Fermi level is 5.67 states/eV/cell. The calculation puts the uncorrected energy at -3.131 eV per atom. The space group is No. 127.

---

Entry 3:
Here is a geometry-optimized LiNd4In2 structure from Alexandria. Energies are from PBE-GGA.

CIF file:
```
data_LiNd4In2
_space_group_name_H-M_alt 'P 1'
_space_group_IT_number 1
_space_group_name_Hall 'P 1'
_cell_length_a 5.4257
_cell_length_b 5.4257
_cell_length_c 9.0819
_cell_angle_alpha 72.62
_cell_angle_beta 72.62
_cell_angle_gamma 60.00
loop_
_atom_site_label
_atom_site_fract_x
_atom_site_fract_y
_atom_site_fract_z
Nd1 0.8677 0.8677 0.3970
Nd2 0.3878 0.3878 0.8366
Nd3 0.1323 0.1323 0.6030
Nd4 0.6122 0.6122 0.1634
Li1 0.0000 0.0000 0.0000
In1 0.2598 0.2598 0.2206
In2 0.7402 0.7402 0.7794
```

Results
For the formation energy, the calculation gives -0.21 eV per atom. The density of states at the Fermi level is 8.28 states/eV/cell. The calculation puts the uncorrected energy at -3.994 eV per atom. The space group is No. 166.

---

Entry 4:
Here is a geometry-optimized Li3NdIn2 structure from Alexandria. Energies are from PBE-GGA.

CIF file:
```
data_Li3NdIn2
_space_group_name_H-M_alt 'P 1'
_space_group_IT_number 1
_space_group_name_Hall 'P 1'
_cell_length_a 4.7132
_cell_length_b 7.5699
_cell_length_c 8.6977
_cell_angle_alpha 69.70
_cell_angle_beta 74.28
_cell_angle_gamma 71.86
loop_
_atom_site_label
_atom_site_fract_x
_atom_site_fract_y
_atom_site_fract_z
In1 0.4356 0.9249 0.2039
In2 0.5644 0.0751 0.7961
In3 0.2087 0.3137 0.2689
In4 0.7913 0.6863 0.7311
Li1 0.4118 0.4924 0.6840
Li2 0.5882 0.5076 0.3160
Li3 0.9519 0.7092 0.3870
Li4 0.2593 0.9130 0.5684
Li5 0.7407 0.0870 0.4316
Li6 0.0481 0.2908 0.6130
Nd1 0.1335 0.7406 0.9924
Nd2 0.8665 0.2594 0.0076
```

Results
For the formation energy, the calculation gives -0.31 eV per atom. The density of states at the Fermi level is 7.50 states/eV/cell. The calculation puts the uncorrected energy at -2.971 eV per atom. The space group is No. 12.